A geometry-optimized NdGa2Cu2 structure. Source: Alexandria via LeMat-Bulk, functional PBE.

Values from the calculation:
Formation enthalpy at 0 K = -410 meV per atom

Unit cell a=6.0076 b=6.0076 c=6.0076 alpha=139.45 beta=139.45 gamma=58.68
Fractional positions:
Nd 0.0000 0.0000 0.0000
Ga 0.2500 0.7500 0.5000
Ga 0.7500 0.2500 0.5000
Cu 0.3836 0.3836 0.0000
Cu 0.6164 0.6164 0.0000


A geometry-optimized Nd2Ga7Cu structure. Source: Alexandria via LeMat-Bulk, functional PBE.

Values from the calculation:
Formation enthalpy at 0 K = -458 meV per atom

Unit cell a=4.2973 b=4.2973 c=10.5840 alpha=90.00 beta=90.00 gamma=90.00
Fractional positions:
Nd 0.0000 0.5000 0.2433
Nd 0.5000 0.0000 0.7567
Ga 0.0000 0.0000 0.0000
Ga 0.0000 0.0000 0.5000
Ga 0.0000 0.5000 0.6399
Ga 0.0000 0.5000 0.8731
Ga 0.5000 0.0000 0.1269
Ga 0.5000 0.0000 0.3601
Ga 0.5000 0.5000 0.5000
Cu 0.5000 0.5000 0.0000


A geometry-optimized NdGa4Cu8 structure. Source: Alexandria via LeMat-Bulk, functional PBE.

Values from the calculation:
Formation enthalpy at 0 K = -169 meV per atom

Unit cell a=6.6353 b=6.6353 c=6.6353 alpha=98.29 beta=98.29 gamma=135.37
Fractional positions:
Nd 0.0000 0.0000 0.0000
Ga 0.0000 0.0000 0.5000
Ga 0.0000 0.5000 0.0000
Ga 0.5000 0.0000 0.0000
Ga 0.5000 0.5000 0.5000
Cu 0.0000 0.3559 0.3559
Cu 0.0000 0.6441 0.6441
Cu 0.2788 0.5000 0.7788
Cu 0.3559 0.0000 0.3559
Cu 0.5000 0.2788 0.7788
Cu 0.5000 0.7212 0.2212
Cu 0.6441 0.0000 0.6441
Cu 0.7212 0.5000 0.2212


A geometry-optimized Nd3Ga5Cu6 structure. Source: Alexandria via LeMat-Bulk, functional PBE.

Values from the calculation:
Formation enthalpy at 0 K = -406 meV per atom

Unit cell a=8.1309 b=8.1309 c=8.1309 alpha=148.80 beta=114.47 gamma=74.36
Fractional positions:
Nd 0.0000 0.0000 0.0000
Nd 0.3035 0.3035 0.0000
Nd 0.6965 0.6965 0.0000
Ga 0.0153 0.6617 0.3536
Ga 0.3081 0.6617 0.6464
Ga 0.5000 0.0000 0.5000
Ga 0.6919 0.3383 0.3536
Ga 0.9847 0.3383 0.6464
Cu 0.1497 0.8689 0.2808
Cu 0.3071 0.5000 0.8071
Cu 0.4119 0.1311 0.2808
Cu 0.5881 0.8689 0.7192
Cu 0.6929 0.5000 0.1929
Cu 0.8503 0.1311 0.7192


A geometry-optimized NdGaCu2 structure. Source: Alexandria via LeMat-Bulk, functional PBE.

Values from the calculation:
Formation enthalpy at 0 K = -324 meV per atom

Unit cell a=8.1665 b=6.5396 c=5.5211 alpha=90.00 beta=90.00 gamma=90.00
Fractional positions:
Nd 0.0564 0.2500 0.1534
Nd 0.4436 0.7500 0.6534
Nd 0.5564 0.2500 0.3466
Nd 0.9436 0.7500 0.8466
Ga 0.1097 0.7500 0.3504
Ga 0.3903 0.2500 0.8504
Ga 0.6097 0.7500 0.1496
Ga 0.8903 0.2500 0.6496
Cu 0.1795 0.0583 0.6141
Cu 0.1795 0.4417 0.6141
Cu 0.3205 0.5583 0.1141
Cu 0.3205 0.9417 0.1141
Cu 0.6795 0.0583 0.8859
Cu 0.6795 0.4417 0.8859
Cu 0.8205 0.5583 0.3859
Cu 0.8205 0.9417 0.3859


A geometry-optimized Nd4GaCu structure. Source: Alexandria via LeMat-Bulk, functional PBE.

Values from the calculation:
Energy relative to the lowest polymorph listed for this composition = 0.113 eV/atom
Formation enthalpy at 0 K = -72 meV per atom

Unit cell a=11.1013 b=11.1013 c=6.3936 alpha=90.00 beta=90.00 gamma=152.38
Fractional positions:
Nd 0.0557 0.9443 0.5000
Nd 0.1884 0.8116 0.7752
Nd 0.2146 0.7854 0.2908
Nd 0.3925 0.6075 0.5504
Nd 0.6075 0.3925 0.0504
Nd 0.7854 0.2146 0.7908
Nd 0.8116 0.1884 0.2752
Nd 0.9443 0.0557 0.0000
Ga 0.3438 0.6562 0.0276
Ga 0.6562 0.3438 0.5276
Cu 0.0761 0.9239 0.0214
Cu 0.9239 0.0761 0.5214


A geometry-optimized Nd2GaCu3 structure. Source: Alexandria via LeMat-Bulk, functional PBE.

Values from the calculation:
Energy relative to the lowest polymorph listed for this composition = 0.000 eV/atom
Formation enthalpy at 0 K = -309 meV per atom

Unit cell a=8.6749 b=8.4350 c=5.7793 alpha=72.51 beta=68.04 gamma=39.45
Fractional positions:
Nd 0.2395 0.7605 0.7605
Nd 0.2500 0.2500 0.2500
Nd 0.7500 0.7500 0.7500
Nd 0.7605 0.2395 0.2395
Ga 0.3343 0.3343 0.6657
Ga 0.6657 0.6657 0.3343
Cu 0.1667 0.1667 0.8333
Cu 0.1689 0.6653 0.3347
Cu 0.3347 0.8311 0.1689
Cu 0.6653 0.1689 0.8311
Cu 0.8311 0.3347 0.6653
Cu 0.8333 0.8333 0.1667


A geometry-optimized Nd2Ga3Cu4 structure. Source: Alexandria via LeMat-Bulk, functional PBE.

Values from the calculation:
Formation enthalpy at 0 K = -318 meV per atom

Unit cell a=8.2544 b=8.2544 c=7.0466 alpha=90.00 beta=90.00 gamma=137.44
Fractional positions:
Nd 0.1114 0.8886 0.9120
Nd 0.3886 0.6114 0.4120
Nd 0.6114 0.3886 0.5880
Nd 0.8886 0.1114 0.0880
Ga 0.0000 0.0000 0.5000
Ga 0.0149 0.4851 0.7500
Ga 0.4851 0.0149 0.2500
Ga 0.5000 0.5000 0.0000
Ga 0.5149 0.9851 0.7500
Ga 0.9851 0.5149 0.2500
Cu 0.1674 0.8326 0.4959
Cu 0.1847 0.3153 0.7500
Cu 0.3153 0.1847 0.2500
Cu 0.3326 0.6674 0.9959
Cu 0.6674 0.3326 0.0041
Cu 0.6847 0.8153 0.7500
Cu 0.8153 0.6847 0.2500
Cu 0.8326 0.1674 0.5041


A geometry-optimized Nd2Ga7Cu12 structure. Source: Alexandria via LeMat-Bulk, functional PBE.

Values from the calculation:
Formation enthalpy at 0 K = -224 meV per atom

Unit cell a=9.5960 b=9.5960 c=4.0603 alpha=90.00 beta=90.00 gamma=120.00
Fractional positions:
Nd 0.0000 0.0000 0.0000
Nd 0.3333 0.6667 0.5000
Ga 0.0353 0.4781 0.0000
Ga 0.2625 0.2483 0.5000
Ga 0.4428 0.9647 0.0000
Ga 0.5219 0.5572 0.0000
Ga 0.6667 0.3333 0.0000
Ga 0.7517 0.0142 0.5000
Ga 0.9858 0.7375 0.5000
Cu 0.0201 0.2844 0.5000
Cu 0.1479 0.7752 0.0000
Cu 0.2248 0.3727 0.0000
Cu 0.2643 0.9799 0.5000
Cu 0.3732 0.1909 0.0000
Cu 0.5699 0.1489 0.5000
Cu 0.5790 0.4301 0.5000
Cu 0.6273 0.8521 0.0000
Cu 0.7156 0.7357 0.5000
Cu 0.8091 0.1824 0.0000
Cu 0.8176 0.6268 0.0000
Cu 0.8511 0.4210 0.5000


A geometry-optimized Nd2Ga5Cu5 structure. Source: Alexandria via LeMat-Bulk, functional PBE.

Values from the calculation:
Formation enthalpy at 0 K = -325 meV per atom

Unit cell a=4.0596 b=5.2793 c=9.6051 alpha=90.00 beta=90.00 gamma=90.00
Fractional positions:
Nd 0.0000 0.0000 0.0000
Nd 0.0000 0.5000 0.5000
Ga 0.0000 0.0000 0.3137
Ga 0.0000 0.0000 0.6863
Ga 0.0000 0.5000 0.1697
Ga 0.0000 0.5000 0.8303
Ga 0.5000 0.0000 0.5000
Cu 0.5000 0.2534 0.2486
Cu 0.5000 0.2534 0.7514
Cu 0.5000 0.5000 0.0000
Cu 0.5000 0.7466 0.2486
Cu 0.5000 0.7466 0.7514


A geometry-optimized Nd5GaCu4 structure. Source: Alexandria via LeMat-Bulk, functional PBE.

Values from the calculation:
Formation enthalpy at 0 K = -224 meV per atom

Unit cell a=3.5953 b=3.5953 c=18.2388 alpha=90.00 beta=90.00 gamma=90.00
Fractional positions:
Nd 0.0000 0.0000 0.0000
Nd 0.0000 0.0000 0.1977
Nd 0.0000 0.0000 0.3950
Nd 0.0000 0.0000 0.6050
Nd 0.0000 0.0000 0.8023
Ga 0.5000 0.5000 0.5000
Cu 0.5000 0.5000 0.0981
Cu 0.5000 0.5000 0.2944
Cu 0.5000 0.5000 0.7056
Cu 0.5000 0.5000 0.9019


A geometry-optimized Nd4GaCu structure. Source: Alexandria via LeMat-Bulk, functional PBE.

Values from the calculation:
Energy relative to the lowest polymorph listed for this composition = 0.000 eV/atom
Formation enthalpy at 0 K = -185 meV per atom

Unit cell a=6.5081 b=6.8978 c=8.2329 alpha=90.00 beta=108.44 gamma=90.00
Fractional positions:
Nd 0.0098 0.0009 0.2401
Nd 0.0098 0.4991 0.2401
Nd 0.4152 0.2500 0.6175
Nd 0.4223 0.2500 0.0902
Nd 0.5777 0.7500 0.9098
Nd 0.5848 0.7500 0.3825
Nd 0.9902 0.5009 0.7599
Nd 0.9902 0.9991 0.7599
Ga 0.2292 0.7500 0.5589
Ga 0.7708 0.2500 0.4411
Cu 0.2210 0.7500 0.0519
Cu 0.7790 0.2500 0.9481


| no. | raw total energy (eV per atom) | D(E_F) (states/eV/cell) | magnetic moment (Bohr magnetons per cell) |
| --- | --- | --- | --- |
| 1 | -4.213 | 2.5 | 0.000 |
| 2 | -3.940 | 3.7 | 0.000 |
| 3 | -3.988 | 5.6 | 0.000 |
| 4 | -4.264 | 8.0 | 0.000 |
| 5 | -4.321 | 8.7 | 0.000 |
| 6 | -4.438 | 13.2 | 0.000 |
| 7 | -4.451 | 10.1 | 0.000 |
| 8 | -4.207 | 10.4 | 0.000 |
| 9 | -4.028 | 11.1 | 0.000 |
| 10 | -4.087 | 5.8 | 0.000 |
| 11 | -4.549 | 7.2 | 0.000 |
| 12 | -4.551 | 14.9 | 0.000 |